No. 1
The following is a DFT calculation (PBE) of a relaxed AcScZnIr crystal.

Summary:
**E_tot**: -22.0 eV for the cell shown
**Density of states at the Fermi level**: 2.1 states/eV per cell
**ΔH_f (0 K)**: -350 meV/atom

```
4
Lattice="0.000 3.572 3.572 3.572 0.000 3.572 3.572 3.572 0.000" Properties=species:S:1:pos:R:3 pbc="T T T"
Ac 0.000 0.000 0.000
Sc 3.572 3.572 3.572
Zn 5.358 5.358 5.358
Ir 1.786 1.786 1.786
```

No. 2
The following is a DFT calculation (PBE) of a relaxed Ti4VRe crystal.

Summary:
**E_tot**: -50.4 eV for the cell shown
**Density of states at the Fermi level**: 8.3 states/eV per cell
**ΔH_f (0 K)**: 463 meV/atom

```
6
Lattice="3.025 -3.025 0.000 3.025 3.025 0.000 -0.007 0.000 5.978" Properties=species:S:1:pos:R:3 pbc="T T T"
Ti 4.535 -1.513 1.482
Ti 1.509 1.513 4.497
Ti 4.535 1.513 1.482
Ti 1.509 -1.513 4.497
V 0.000 0.000 0.000
Re 3.022 0.000 2.989
```

No. 3
The following is a DFT calculation (PBE) of a relaxed ZnGePd crystal.

Summary:
**E_tot**: -23.9 eV for the cell shown
**Density of states at the Fermi level**: 1.0 states/eV per cell
**ΔH_f (0 K)**: -289 meV/atom

```
6
Lattice="-1.565 1.565 9.957 1.565 -1.565 9.957 1.565 1.565 -9.957" Properties=species:S:1:pos:R:3 pbc="T T T"
Zn 0.000 0.000 4.245
Zn 0.000 0.000 15.670
Ge 0.000 0.000 1.262
Ge 0.000 0.000 18.653
Pd 0.000 0.000 7.313
Pd 0.000 0.000 12.601
```